Ac2Nd2Y3: relaxed, GGA-PBE.

Cell: 3.593 5.848 12.593 Å, 76.58 90.00 90.00°
Fractional positions:
Ac1 0.000 0.577 0.846
Ac2 0.000 0.423 0.154
Nd1 0.500 0.850 0.300
Nd2 0.500 0.150 0.700
Y1 0.000 0.283 0.435
Y2 0.000 0.000 0.000
Y3 0.000 0.717 0.565

Results
Formation energy from the elements in kJ/mol of atoms: 14.9
Spin magnetization in μB per atom: 0.000
Calculated total energy in eV/atom: -5.152